No. 1
Compound: AsRhBr2
Source: Alexandria
Functional: meta-GGA SCAN
Structure: PBEsol geometry

Values from the calculation:
energy above the most stable polymorph in this dataset = 259.8 meV/atom
SG = Amm2 (38)
formation energy from raw total energies = -0.291 eV per atom
calculated volume = 85.6 Å³ per cell

a = 3.5668 Å, b = 5.0353 Å, c = 5.3932 Å
α = 117.89°, β = 90.00°, γ = 90.00°
Closest atoms and distances in Å follow each position.
Positions (direct):
1 As 0.5000 0.3140 0.6286  2 Rh 2.34
2 Rh 0.0000 0.4735 0.9473  2 As 2.34, 2 Br 2.55
3 Br 0.0000 0.0172 0.0343  2 Rh 2.55
4 Br 0.5000 0.6954 0.3899  2 As 2.76-2.77, 2 Rh 2.76

No. 2
Compound: As2RhBr
Source: Alexandria
Functional: meta-GGA SCAN
Structure: PBEsol geometry

Values from the calculation:
energy above the most stable polymorph in this dataset = 268.3 meV/atom
SG = P4mm (99)
formation energy from raw total energies = 0.066 eV per atom
calculated volume = 76.8 Å³ per cell

a = 3.2971 Å, b = 3.2971 Å, c = 7.0678 Å
α = 90.00°, β = 90.00°, γ = 90.00°
Closest atoms and distances in Å follow each position.
Positions (direct):
1 As 0.0000 0.0000 0.9642  4 Rh 2.56, 4 As 2.77
2 As 0.5000 0.5000 0.1754  1 Rh 2.55, 4 As 2.77
3 Rh 0.5000 0.5000 0.8143  5 As 2.55-2.56
4 Br 0.0000 0.0000 0.5461  1 As 2.95, 4 Rh 3.00, 4 Br 3.30

No. 3
Compound: AsRh2Br
Source: Alexandria
Functional: meta-GGA SCAN
Structure: PBEsol geometry

Values from the calculation:
energy above the most stable polymorph in this dataset = 278.3 meV/atom
SG = R3m (160)
formation energy from raw total energies = -0.001 eV per atom
calculated volume = 80.2 Å³ per cell

a = 3.7850 Å, b = 3.7850 Å, c = 6.8240 Å
α = 73.90°, β = 73.90°, γ = 60.00°
Closest atoms and distances in Å follow each position.
Positions (direct):
1 As 0.4593 0.4593 0.6222  3 Rh 2.30
2 Rh 0.0042 0.0042 0.9873  3 Br 2.45, 3 Rh 2.74
3 Rh 0.7559 0.7559 0.7324  3 As 2.30
4 Br 0.2806 0.2806 0.1582  3 Rh 2.45

What did the third record say?
Compound: AsRh2Br
Source: Alexandria
Functional: meta-GGA SCAN
Structure: PBEsol geometry

Values from the calculation:
energy above the most stable polymorph in this dataset = 278.3 meV/atom
SG = R3m (160)
formation energy from raw total energies = -0.001 eV per atom
calculated volume = 80.2 Å³ per cell

a = 3.7850 Å, b = 3.7850 Å, c = 6.8240 Å
α = 73.90°, β = 73.90°, γ = 60.00°
Closest atoms and distances in Å follow each position.
Positions (direct):
1 As 0.4593 0.4593 0.6222  3 Rh 2.30
2 Rh 0.0042 0.0042 0.9873  3 Br 2.45, 3 Rh 2.74
3 Rh 0.7559 0.7559 0.7324  3 As 2.30
4 Br 0.2806 0.2806 0.1582  3 Rh 2.45

Repeat the first record exactly.
Compound: AsRhBr2
Source: Alexandria
Functional: meta-GGA SCAN
Structure: PBEsol geometry

Values from the calculation:
energy above the most stable polymorph in this dataset = 259.8 meV/atom
SG = Amm2 (38)
formation energy from raw total energies = -0.291 eV per atom
calculated volume = 85.6 Å³ per cell

a = 3.5668 Å, b = 5.0353 Å, c = 5.3932 Å
α = 117.89°, β = 90.00°, γ = 90.00°
Closest atoms and distances in Å follow each position.
Positions (direct):
1 As 0.5000 0.3140 0.6286  2 Rh 2.34
2 Rh 0.0000 0.4735 0.9473  2 As 2.34, 2 Br 2.55
3 Br 0.0000 0.0172 0.0343  2 Rh 2.55
4 Br 0.5000 0.6954 0.3899  2 As 2.76-2.77, 2 Rh 2.76

Question: Which value of energy above the most stable polymorph in this dataset does entry 1 give?
Answer: 259.8 meV/atom

Question: The highest calculated volume belongs to which entry?
Answer: AsRhBr2